1.
A plane-wave DFT calculation with PBE was carried out for crystalline MgTa2Cl at its relaxed geometry.

Its uncorrected formation energy is 0.823 eV per atom.

It has space group F-43m (No. 216), with a = 6.713 Å, b = 6.713 Å, c = 6.713 Å, α = 90.00°, β = 90.00° and γ = 90.00°. The asymmetric unit holds Mg at (0.000, 0.000, 0.000), Ta at (0.000, 0.000, 0.500), Ta at (0.250, 0.250, 0.750) and Cl at (0.250, 0.250, 0.250).

---

2.
A plane-wave DFT calculation with PBE was carried out for crystalline La4CoOsBr2 at its relaxed geometry.

Its uncorrected formation energy is -0.830 eV per atom.

It has space group P2/m (No. 10), with a = 7.123 Å, b = 4.142 Å, c = 8.270 Å, α = 90.00°, β = 106.90° and γ = 90.00°. The asymmetric unit holds La at (0.229, 0.000, 0.192), La at (0.267, 0.500, 0.804), Co at (0.000, 0.500, 0.000), Os at (0.500, 0.000, 0.000), Br at (0.000, 0.000, 0.500) and Br at (0.500, 0.500, 0.500).

---

3.
A plane-wave DFT calculation with PBE was carried out for crystalline NaAl2Cl at its relaxed geometry.

Its uncorrected formation energy is -0.348 eV per atom.

It has space group I-42d (No. 122), with a = 3.797 Å, b = 3.797 Å, c = 31.159 Å, α = 90.00°, β = 90.00° and γ = 90.00°. The asymmetric unit holds Na at (0.000, 0.000, 0.000), Al at (0.250, 0.250, 0.375) and Cl at (0.000, 0.000, 0.500).

---

4.
A plane-wave DFT calculation with PBE was carried out for crystalline Li2La2Au3 at its relaxed geometry.

Its formation energy from the elements is -0.655 eV/atom.

It has space group Cmcm (No. 63), with a = 4.156 Å, b = 19.718 Å, c = 7.921 Å, α = 90.00°, β = 90.00° and γ = 90.00°. The asymmetric unit holds Li at (0.000, 0.193, 0.059), La at (0.000, 0.344, 0.250), La at (0.000, 0.445, 0.750), Au at (0.000, 0.066, 0.563) and Au at (0.000, 0.277, 0.750).

---

5.
A plane-wave DFT calculation with PBE was carried out for crystalline ScIF2 at its relaxed geometry.

Its uncorrected formation energy is -1.787 eV per atom.

It has space group Fm-3m (No. 225), with a = 6.414 Å, b = 6.414 Å, c = 6.414 Å, α = 90.00°, β = 90.00° and γ = 90.00°. The asymmetric unit holds Sc at (0.000, 0.000, 0.000), I at (0.000, 0.000, 0.500) and F at (0.250, 0.250, 0.250).

---

6.
A plane-wave DFT calculation with PBE was carried out for crystalline Te2IrO at its relaxed geometry.

Its uncorrected formation energy is 0.021 eV per atom.

It has space group I-42d (No. 122), with a = 5.496 Å, b = 5.496 Å, c = 12.159 Å, α = 90.00°, β = 90.00° and γ = 90.00°. The asymmetric unit holds Te at (0.227, 0.250, 0.125), Ir at (0.000, 0.000, 0.500) and O at (0.000, 0.000, 0.000).

---

7.
A plane-wave DFT calculation with PBE was carried out for crystalline Pa3GaNi4 at its relaxed geometry.

Its formation energy from the elements is -0.279 eV/atom.

It has space group Immm (No. 71), with a = 3.505 Å, b = 5.999 Å, c = 14.159 Å, α = 90.00°, β = 90.00° and γ = 90.00°. The asymmetric unit holds Pa at (0.000, 0.000, 0.000), Pa at (0.000, 0.500, 0.193), Ga at (0.000, 0.000, 0.500) and Ni at (0.000, 0.298, 0.371).

---

8.
A plane-wave DFT calculation with PBE was carried out for crystalline Tm3Mn2Fe7 at its relaxed geometry.

Its formation energy from the elements is -0.065 eV/atom.

It has space group R-3m (No. 166, hexagonal axes), with a = 5.0148 Å, b = 5.0148 Å, c = 24.0505 Å, α = 90.00°, β = 90.00° and γ = 120.00°. The asymmetric unit holds Tm at (0.0000, 0.0000, 0.0000), Tm at (0.0000, 0.0000, 0.1414), Mn at (0.0000, 0.0000, 0.3328), Fe at (0.0000, 0.0000, 0.5000) and Fe at (0.0007, 0.5003, 0.9187).

---

Values of calculated volume, in order: 18.91, 29.18, 28.08, 23.18, 16.49, 22.96, 18.61, 14.55, all in Å³/atom.
Values of VASP energy, in order: -5.964, -6.003, -3.010, -4.014, -4.693, -5.005, -7.109, -7.648, all in eV/atom.
Values of size of the total moment, in order: 0.21, 0.00, 0.00, 0.00, 0.00, 0.00, 0.00, 1.17, all in μB/atom.